VASP calculation (GGA-PBE) on an optimized crystal structure of LiCaAl2F.

a = 5.617 Å, b = 5.617 Å, c = 3.426 Å
α = 90.00°, β = 90.00°, γ = 90.00°
Space group P4/mmm (No. 123)
Unique sites:
Li 0.000 0.000 0.000
Ca 0.500 0.500 0.500
Al 0.000 0.500 0.000
F 0.000 0.000 0.500

Calculated values
* final energy: -3.23 eV/atom